No. 1
Density functional theory data (PBE) for a relaxed FeSiSn2I crystal.

E = -15.1 eV for the cell shown
total moment = 0.6245 μB per atom

abc: 5.6343 5.1702 5.6343
angles: 90.00 90.00 90.00
With the nearest neighbours (Å) after each atom.
Positions (direct):
I1 0.0000 0.0000 0.0000  2 Si 2.59, 4 Sn 2.82
Si1 0.0000 0.5000 0.0000  2 I 2.59
Sn1 0.0000 0.0000 0.5000  2 I 2.82
Sn2 0.5000 0.0000 0.0000  2 I 2.82
Fe1 0.5000 0.5000 0.5000  8 Sn 3.82, 4 Si 3.98



No. 2
Density functional theory data (PBE) for a relaxed PmAl2HIr crystal.

E = -55.9 eV for the cell shown
total moment = 0.0000 μB per atom

abc: 4.1417 5.9865 7.0670
angles: 90.00 90.00 110.24
With the nearest neighbours (Å) after each atom.
Positions (direct):
Pm1 0.4418 0.8836 0.7500  4 H 2.80, 1 Ir 3.11
Pm2 0.5582 0.1164 0.2500  4 H 2.80, 1 Ir 3.11
Al1 0.1718 0.3437 0.9409  1 H 1.97
Al2 0.8282 0.6563 0.0591  1 H 1.97
Al3 0.1718 0.3437 0.5591  1 H 1.97
Al4 0.8282 0.6563 0.4409  1 H 1.97
H1 0.0000 0.0000 0.0000  2 Al 1.97
H2 0.0000 0.0000 0.5000  2 Al 1.97
Ir1 0.7186 0.4371 0.7500  6 Al 2.51-2.53
Ir2 0.2814 0.5629 0.2500  6 Al 2.51-2.53



No. 3
Density functional theory data (PBE) for a relaxed K2CuP2S6 crystal.

E = -47.2 eV for the cell shown
total moment = 0.0000 μB per atom

abc: 6.7401 6.7401 7.7519
angles: 64.23 64.23 60.00
With the nearest neighbours (Å) after each atom.
Positions (direct):
K1 0.7684 0.7684 0.6949  9 S 3.39-3.54
K2 0.2316 0.2316 0.3051  9 S 3.39-3.54
Cu1 0.0000 0.0000 0.0000  6 S 2.53
P1 0.4301 0.4301 0.7098  3 S 2.01
P2 0.5699 0.5699 0.2902  3 S 2.01
S1 0.7542 0.7542 0.2491  1 P 2.01
S2 0.2424 0.7542 0.2491  1 P 2.01
S3 0.7542 0.2424 0.2491  1 P 2.01
S4 0.2458 0.7576 0.7509  1 P 2.01
S5 0.7576 0.2458 0.7509  1 P 2.01
S6 0.2458 0.2458 0.7509  1 P 2.01